Compound: SmSnSe
Source: Alexandria via LeMat-Bulk
Functional: GGA-PBE
Structure: optimized geometry

Structure (POSCAR):
```
SmSnSe
1.0
-3.5206 -1.4476 1.6197
1.0938 -3.8463 -1.0600
5.4664 1.5732 8.0047
Sm Sn Se
2 2 2
direct
0.3481 0.3481 0.6962
0.6519 0.6519 0.3038
0.0000 0.5000 0.0000
0.5000 0.0000 0.0000
0.1875 0.1875 0.3751
0.8125 0.8125 0.6249
```

Output
Raw total energy, eV/atom: -5.298
Raw formation energy, eV/f.u.: -3.69
Calculated volume, Å³ per cell: 160.4
M_tot, μB/f.u.: 0.00

Compound: Sm2SnSe
Source: Alexandria via LeMat-Bulk
Functional: GGA-PBE
Structure: optimized geometry

Structure (POSCAR):
```
Sm2SnSe
1.0
-2.0067 3.0963 -2.2840
0.5693 -2.3065 -3.6269
-10.5646 -4.1918 3.5992
Sm Sn Se
4 2 2
direct
0.7500 0.6845 0.3689
0.2500 0.3155 0.6311
0.7500 0.9321 0.8641
0.2500 0.0679 0.1359
0.2500 0.4531 0.9062
0.7500 0.5469 0.0938
0.2500 0.1911 0.3822
0.7500 0.8089 0.6178
```

Output
Raw total energy, eV/atom: -5.523
Raw formation energy, eV/f.u.: -5.17
Calculated volume, Å³ per cell: 220.6
M_tot, μB/f.u.: 0.00

Compound: Sm2SnSe
Source: Alexandria via LeMat-Bulk
Functional: GGA-PBE
Structure: optimized geometry

Structure (POSCAR):
```
Sm2SnSe
1.0
4.2155 0.0000 0.0000
2.1077 3.6507 0.0000
2.1077 1.2169 7.6603
Sm Sn Se
2 1 1
direct
0.0839 0.0839 0.7484
0.2505 0.2505 0.2484
0.6676 0.6676 0.9973
0.4980 0.4980 0.5059
```

Output
Raw total energy, eV/atom: -5.366
Raw formation energy, eV/f.u.: -4.54
Calculated volume, Å³ per cell: 117.9
M_tot, μB/f.u.: 0.00

Compound: Sm2SnSe
Source: Alexandria via LeMat-Bulk
Functional: GGA-PBE
Structure: optimized geometry

Structure (POSCAR):
```
Sm2SnSe
1.0
-3.3705 -0.7244 0.9237
-0.8779 -0.3092 -3.4456
1.7738 -7.9225 0.2589
Se Sn Sm
1 1 2
direct
0.5000 0.5000 0.0000
0.5000 0.5000 0.5000
0.0000 0.0000 0.7695
0.0000 0.0000 0.2305
```

Output
Raw total energy, eV/atom: -5.349
Raw formation energy, eV/f.u.: -4.47
Calculated volume, Å³ per cell: 103.5
M_tot, μB/f.u.: 0.10

Compound: Sm3Sn5Se12
Source: Alexandria via LeMat-Bulk
Functional: GGA-PBE
Structure: optimized geometry

Structure (POSCAR):
```
Sm3Sn5Se12
1.0
-12.7615 -3.3189 -6.2130
-0.5378 -3.1964 14.2115
2.6675 14.2312 -1.6817
Sm Sn Se
12 20 48
direct
0.7500 0.3750 0.1250
0.8750 0.7500 0.1250
0.3750 0.7500 0.6250
0.2500 0.1250 0.3750
0.8750 0.1250 0.2500
0.3750 0.6250 0.2500
0.6250 0.3750 0.7500
0.1250 0.8750 0.7500
0.7500 0.8750 0.6250
0.6250 0.2500 0.3750
0.1250 0.2500 0.8750
0.2500 0.6250 0.8750
0.1250 0.3750 0.2500
0.0000 0.5000 0.0000
0.0000 0.0000 0.0000
0.3750 0.2500 0.1250
0.5000 0.0000 0.5000
0.5000 0.5000 0.0000
0.1250 0.7500 0.3750
0.7500 0.1250 0.8750
0.7500 0.6250 0.3750
0.3750 0.1250 0.7500
0.6250 0.8750 0.2500
0.5000 0.5000 0.5000
0.5000 0.0000 0.0000
0.0000 0.0000 0.5000
0.2500 0.3750 0.6250
0.2500 0.8750 0.1250
0.0000 0.5000 0.5000
0.8750 0.2500 0.6250
0.6250 0.7500 0.8750
0.8750 0.6250 0.7500
0.7235 0.1372 0.0490
0.3255 0.5490 0.4118
0.9510 0.3628 0.2765
0.5490 0.2235 0.1372
0.5863 0.7235 0.6745
0.9510 0.5882 0.1745
0.3255 0.7765 0.4137
0.0882 0.9137 0.1372
0.5882 0.9510 0.6745
0.7235 0.5863 0.1745
0.7765 0.4510 0.3628
0.8255 0.9118 0.0490
0.1372 0.7235 0.5490
0.3628 0.4118 0.0863
0.0863 0.9118 0.3628
0.4137 0.1372 0.5882
0.0863 0.1745 0.2235
0.4510 0.6745 0.0882
0.8255 0.9137 0.2765
0.1372 0.4137 0.0882
0.3628 0.9510 0.7765
0.5882 0.6372 0.4137
0.9118 0.8255 0.5490
0.7765 0.3255 0.9137
0.4118 0.3628 0.5863
0.0882 0.1745 0.4510
0.2235 0.6745 0.0863
0.1745 0.0863 0.7235
0.6372 0.0490 0.2235
0.8628 0.5863 0.9118
0.5490 0.3255 0.9118
0.5863 0.8628 0.4118
0.9137 0.8255 0.7765
0.9137 0.0882 0.6372
0.8628 0.2765 0.4510
0.1745 0.0882 0.9510
0.6372 0.5882 0.9137
0.4118 0.0490 0.3255
0.2765 0.4137 0.8255
0.2235 0.5490 0.6372
0.9118 0.0863 0.8628
0.6745 0.2235 0.5863
0.4510 0.7765 0.8628
0.0490 0.4118 0.8255
0.4137 0.2765 0.3255
0.0490 0.6372 0.7235
0.6745 0.4510 0.5882
0.2765 0.8628 0.9510
```

Output
Raw total energy, eV/atom: -4.658
Raw formation energy, eV/f.u.: -17.17
Calculated volume, Å³ per cell: 2384.1
M_tot, μB/f.u.: 0.00

Compound: Sm3SnSe6
Source: Alexandria via LeMat-Bulk
Functional: GGA-PBE
Structure: optimized geometry

Structure (POSCAR):
```
Sm3SnSe6
1.0
7.1258 0.0000 0.0000
0.0000 9.1246 0.0140
0.0000 -2.0225 8.8976
Sm Sn Se
6 2 12
direct
0.4818 0.9115 0.7170
0.9818 0.7170 0.9115
0.3890 0.4051 0.5949
0.8890 0.5949 0.4051
0.9818 0.0885 0.2830
0.4818 0.2830 0.0885
0.0138 0.2001 0.7999
0.5138 0.7999 0.2001
0.1838 0.6951 0.6293
0.6838 0.6293 0.6951
0.2188 0.4477 0.9055
0.7188 0.9055 0.4477
0.1904 0.0284 0.9716
0.6233 0.2220 0.7780
0.1233 0.7780 0.2220
0.6904 0.9716 0.0284
0.2188 0.0945 0.5523
0.7188 0.5523 0.0945
0.1838 0.3707 0.3049
0.6838 0.3049 0.3707
```

Output
Raw total energy, eV/atom: -5.367
Raw formation energy, eV/f.u.: -14.60
Calculated volume, Å³ per cell: 578.7
M_tot, μB/f.u.: 0.00

Compound: Sm7SnSe5
Source: Alexandria via LeMat-Bulk
Functional: GGA-PBE
Structure: optimized geometry

Structure (POSCAR):
```
Sm7SnSe5
1.0
-3.2469 -1.1367 2.4493
-0.4276 -3.8437 -5.9912
13.9428 -17.6133 10.3085
Sm Sn Se
14 2 10
direct
0.4728 0.9457 0.2500
0.5277 0.0555 0.7500
0.6378 0.2756 0.0367
0.3628 0.7255 0.9634
0.3628 0.7256 0.5367
0.6378 0.2755 0.4633
0.1838 0.3677 0.1775
0.8168 0.6335 0.8225
0.8168 0.6335 0.6776
0.1838 0.3676 0.3224
0.9056 0.8111 0.1150
0.0951 0.1901 0.8850
0.0951 0.1902 0.6151
0.9055 0.8109 0.3850
0.8052 0.6104 0.2500
0.1954 0.3907 0.7500
0.0003 0.0006 0.0000
0.7262 0.4523 0.9286
0.2744 0.5488 0.0714
0.5473 0.0947 0.3583
0.4532 0.9064 0.6417
0.0003 0.0005 0.5000
0.2744 0.5488 0.4286
0.7262 0.4523 0.5714
0.4532 0.9064 0.8583
0.5474 0.0948 0.1417
```

Output
Raw total energy, eV/atom: -5.728
Raw formation energy, eV/f.u.: -20.00
Calculated volume, Å³ per cell: 710.9
M_tot, μB/f.u.: 0.00

Compound: Sm2SnSe4
Source: Alexandria via LeMat-Bulk
Functional: GGA-PBE
Structure: optimized geometry

Structure (POSCAR):
```
Sm2SnSe4
1.0
-0.9969 -1.8039 -3.7016
-2.8289 -5.8031 3.5898
-4.4727 6.7552 0.3371
Sm Sn Se
2 1 4
direct
0.2725 0.2814 0.5449
0.7276 0.7186 0.4551
0.0000 0.0000 0.0000
0.1291 0.4448 0.2582
0.8709 0.5552 0.7418
0.3579 0.9996 0.7159
0.6421 0.0004 0.2841
```

Output
Raw total energy, eV/atom: -5.333
Raw formation energy, eV/f.u.: -9.95
Calculated volume, Å³ per cell: 220.2
M_tot, μB/f.u.: 0.00

- M_tot of number 7 (Sm7SnSe5)?
  0.00 μB/f.u.

- Number 2 is which compound?
  Sm2SnSe

- Which of these has the highest calculated volume?
  Sm3Sn5Se12